1.
DFT (meta-GGA SCAN) results for a crystal of Al2FeCo relaxed with PBEsol.

Results
**Density of states at the Fermi level**: 3.15 states/eV/f.u.
**DFT formation energy**: -0.2079 eV per atom
**Symmetry**: R-3m, No. 166

abc: 8.0593 8.0593 8.0593
angles: 19.08 19.08 19.08
Closest atoms and distances in Å follow each position.
Fractional positions:
Al  0.2472  0.2472  0.2472  3 Co 2.46, 3 Fe 2.56, 6 Al 2.67
Al  0.7528  0.7528  0.7528  3 Co 2.46, 3 Fe 2.56, 6 Al 2.67
Fe  0.0000  0.0000  0.0000  6 Al 2.56, 6 Fe 2.67
Co  0.5000  0.5000  0.5000  6 Al 2.46, 6 Co 2.67

***

2.
DFT (meta-GGA SCAN) results for a crystal of AlFeCoOs2 relaxed with PBEsol.

Results
**Density of states at the Fermi level**: 3.59 states/eV/f.u.
**DFT formation energy**: 1.3296 eV per atom
**Symmetry**: P4/mmm, No. 123

abc: 4.3323 4.3323 4.2066
angles: 90.00 90.00 90.00
Closest atoms and distances in Å follow each position.
Fractional positions:
Al  0.0000  0.0000  0.0000  2 Fe 2.10
Fe  0.0000  0.0000  0.5000  2 Al 2.10, 4 Os 2.17
Co  0.5000  0.5000  0.0000  8 Os 3.02, 4 Al 3.06
Os  0.0000  0.5000  0.5000  2 Fe 2.17
Os  0.5000  0.0000  0.5000  2 Fe 2.17